--- i ---
The following is a DFT calculation (PBE) of a relaxed structure of PmYCu3.

Cell: 4.3278 3.6123 13.1954 Å, 97.87 90.00 90.00°
With the nearest neighbours (Å) after each atom.
Fractional coordinates of all 10 atoms:
Cu 0.2500 0.6656 0.3312  2 Cu 2.54
Cu 0.7500 0.5220 0.0441  3 Cu 2.43-2.45
Cu 0.2500 0.4780 0.9559  3 Cu 2.43-2.45
Cu 0.7500 0.6149 0.2298  3 Cu 2.43-2.54
Cu 0.2500 0.3851 0.7702  3 Cu 2.43-2.54
Cu 0.7500 0.3344 0.6688  2 Cu 2.54
Pm 0.2500 0.7977 0.5954  6 Cu 2.91-2.98
Pm 0.7500 0.2023 0.4046  6 Cu 2.91-2.98
Y 0.7500 0.9307 0.8614  12 Cu 2.99-3.10
Y 0.2500 0.0693 0.1386  12 Cu 2.99-3.10

Properties
As for the density of states at the Fermi level: 0.754 states/eV/atom. Its magnetization is 0.0 μB/cell. Its space-group type is Cmcm.

---

--- ii ---
The following is a DFT calculation (PBE) of a relaxed structure of PmYCu3.

Cell: 3.7344 4.2993 12.9521 Å, 90.00 98.29 90.00°
With the nearest neighbours (Å) after each atom.
Fractional coordinates of all 10 atoms:
Pm 0.9284 0.7500 0.8568  12 Cu 3.07-3.19
Pm 0.0716 0.2500 0.1432  12 Cu 3.07-3.19
Cu 0.3810 0.2500 0.7621  3 Cu 2.45-2.55
Cu 0.6724 0.2500 0.3447  2 Cu 2.55
Cu 0.3276 0.7500 0.6553  2 Cu 2.55
Cu 0.5234 0.7500 0.0467  3 Cu 2.45-2.46
Cu 0.6190 0.7500 0.2379  3 Cu 2.45-2.55
Cu 0.4766 0.2500 0.9533  3 Cu 2.45-2.46
Y 0.7958 0.2500 0.5915  7 Cu 2.87-3.16
Y 0.2042 0.7500 0.4085  7 Cu 2.87-3.16

Properties
As for the density of states at the Fermi level: 0.717 states/eV/atom. Its magnetization is 0.0 μB/cell. Its space-group type is Cmcm.

---

Energy above the most stable structure, in eV/atom: i 0.011; ii 0.000

---

--- i ---
The following is a DFT calculation (PBE) of a relaxed structure of PmYCu2.

Cell: 4.9888 4.9888 4.9888 Å, 60.00 60.00 60.00°
With the nearest neighbours (Å) after each atom.
Fractional coordinates of all 4 atoms:
Cu 0.7500 0.7500 0.7500  4 Pm 3.05, 4 Y 3.05
Cu 0.2500 0.2500 0.2500  4 Y 3.05, 4 Pm 3.05
Y 0.0000 0.0000 0.0000  8 Cu 3.05
Pm 0.5000 0.5000 0.5000  8 Cu 3.05

Properties
As for the density of states at the Fermi level: 0.899 states/eV/atom. Its magnetization is 0.0 μB/cell. Its space-group type is Fm-3m.

---

--- ii ---
The following is a DFT calculation (PBE) of a relaxed structure of PmYCu2.

Cell: 3.5136 3.5136 7.0772 Å, 90.00 90.00 90.00°
With the nearest neighbours (Å) after each atom.
Fractional coordinates of all 4 atoms:
Cu 0.0000 0.0000 0.2378  4 Y 3.00, 4 Pm 3.10
Cu 0.0000 0.0000 0.7622  4 Y 3.00, 4 Pm 3.10
Pm 0.5000 0.5000 0.5000  8 Cu 3.10
Y 0.5000 0.5000 0.0000  8 Cu 3.00

Properties
As for the density of states at the Fermi level: 0.539 states/eV/atom. Its magnetization is 0.0 μB/cell. Its space-group type is P4/mmm.

---

--- iii ---
The following is a DFT calculation (PBE) of a relaxed structure of PmYCu2.

Cell: 3.8354 4.5029 5.5811 Å, 90.00 110.59 90.00°
With the nearest neighbours (Å) after each atom.
Fractional coordinates of all 4 atoms:
Cu 0.1543 0.5000 0.8442  2 Cu 2.67, 2 Pm 2.92-2.94
Cu 0.0132 0.0000 0.5689  2 Cu 2.67, 2 Y 2.89-2.90
Pm 0.4402 0.5000 0.4204  7 Cu 2.92-3.06
Y 0.7234 0.0000 0.9845  7 Cu 2.89-3.05

Properties
As for the density of states at the Fermi level: 0.739 states/eV/atom. Its magnetization is 0.0 μB/cell. Its space-group type is Pm.

---

Energy above the most stable structure, in eV/atom: i 0.025; ii 0.015; iii 0.000

---

--- i ---
The following is a DFT calculation (PBE) of a relaxed structure of Pm2YCu2.

Cell: 4.5209 5.4782 11.4026 Å, 111.43 90.00 90.00°
With the nearest neighbours (Å) after each atom.
Fractional coordinates of all 10 atoms:
Cu 0.2500 0.8771 0.6426  5 Pm 2.89-3.01, 2 Y 2.96
Cu 0.7500 0.1229 0.3574  5 Pm 2.89-3.01, 2 Y 2.96
Cu 0.2500 0.3600 0.9744  2 Cu 2.67, 2 Pm 2.89-2.96, 1 Y 2.91
Cu 0.7500 0.6400 0.0256  2 Cu 2.67, 2 Pm 2.89-2.96, 1 Y 2.91
Y 0.2500 0.8010 0.2141  5 Cu 2.91-3.02
Y 0.7500 0.1990 0.7859  5 Cu 2.91-3.02
Pm 0.7500 0.7074 0.4563  4 Cu 2.89-3.01
Pm 0.2500 0.2926 0.5437  4 Cu 2.89-3.01
Pm 0.2500 0.7803 0.8786  5 Cu 2.89-3.07
Pm 0.7500 0.2197 0.1214  5 Cu 2.89-3.07

Properties
As for the density of states at the Fermi level: 1.133 states/eV/atom. Its magnetization is 0.0 μB/cell. Its space-group type is P2_1/m.

---

--- ii ---
The following is a DFT calculation (PBE) of a relaxed structure of Pm2YCu2.

Cell: 4.7544 7.2401 7.2401 Å, 90.00 90.00 90.00°
With the nearest neighbours (Å) after each atom.
Fractional coordinates of all 10 atoms:
Pm 0.5000 0.6705 0.8295  6 Cu 3.19-3.20, 1 Pm 3.49
Pm 0.5000 0.3295 0.1705  6 Cu 3.19-3.20, 1 Pm 3.49
Pm 0.5000 0.1705 0.6705  6 Cu 3.19-3.20, 1 Pm 3.49
Pm 0.5000 0.8295 0.3295  6 Cu 3.19-3.20, 1 Pm 3.49
Cu 0.0000 0.8788 0.6212  1 Cu 2.48
Cu 0.0000 0.6212 0.1212  1 Cu 2.48
Cu 0.0000 0.3788 0.8788  1 Cu 2.48
Cu 0.0000 0.1212 0.3788  1 Cu 2.48
Y 0.0000 0.0000 0.0000  4 Cu 2.88
Y 0.0000 0.5000 0.5000  4 Cu 2.88

Properties
As for the density of states at the Fermi level: 1.337 states/eV/atom. Its magnetization is 0.0 μB/cell. Its space-group type is P4/mbm.

---

Energy above the most stable structure, in eV/atom: i 0.049; ii 0.000

---

--- i ---
The following is a DFT calculation (PBE) of a relaxed structure of Pm3ZnCu3.

Cell: 4.4482 9.9800 9.9800 Å, 120.00 90.00 90.00°
With the nearest neighbours (Å) after each atom.
Fractional coordinates of all 14 atoms:
Zn 0.2500 0.6667 0.3333  3 Cu 2.39
Zn 0.7500 0.3333 0.6667  3 Cu 2.39
Cu 0.7500 0.0572 0.5285  1 Zn 2.39, 2 Cu 2.43
Cu 0.2500 0.9428 0.4715  1 Zn 2.39, 2 Cu 2.43
Cu 0.2500 0.5287 0.0572  1 Zn 2.39, 2 Cu 2.43
Cu 0.2500 0.5285 0.4713  1 Zn 2.39, 2 Cu 2.43
Cu 0.7500 0.4715 0.5287  1 Zn 2.39, 2 Cu 2.43
Cu 0.7500 0.4713 0.9428  1 Zn 2.39, 2 Cu 2.43
Pm 0.2500 0.2100 0.7901  6 Cu 2.96-3.18, 2 Zn 3.08
Pm 0.7500 0.7900 0.2099  6 Cu 2.96-3.18, 2 Zn 3.08
Pm 0.7500 0.4199 0.2100  6 Cu 2.96-3.18, 2 Zn 3.08
Pm 0.7500 0.7901 0.5801  6 Cu 2.96-3.18, 2 Zn 3.08
Pm 0.2500 0.5801 0.7900  6 Cu 2.96-3.18, 2 Zn 3.08
Pm 0.2500 0.2099 0.4199  6 Cu 2.96-3.18, 2 Zn 3.08

Properties
As for the density of states at the Fermi level: 0.818 states/eV/atom. Its magnetization is 0.0 μB/cell. Its space-group type is P6_3/mmc.

---

--- ii ---
The following is a DFT calculation (PBE) of a relaxed structure of Pm3ZnCu3.

Cell: 4.2830 5.6096 14.0600 Å, 85.28 81.24 67.56°
With the nearest neighbours (Å) after each atom.
Fractional coordinates of all 14 atoms:
Cu 0.1000 0.8783 0.9216  2 Cu 2.54-2.55
Cu 0.1297 0.2846 0.4561  2 Zn 2.50, 1 Cu 2.57
Cu 0.9000 0.1217 0.0784  2 Cu 2.54-2.55
Cu 0.8703 0.7154 0.5439  2 Zn 2.50, 1 Cu 2.57
Cu 0.9563 0.8535 0.2339  1 Cu 2.54, 1 Zn 2.62
Cu 0.0437 0.1465 0.7661  1 Cu 2.54, 1 Zn 2.62
Zn 0.7521 0.1000 0.3958  3 Cu 2.50-2.62
Zn 0.2479 0.9000 0.6042  3 Cu 2.50-2.62
Pm 0.7502 0.7315 0.7680  6 Cu 3.03-3.13, 2 Zn 3.23
Pm 0.3927 0.2928 0.9218  7 Cu 3.03-3.16
Pm 0.2498 0.2685 0.2320  6 Cu 3.03-3.13, 2 Zn 3.23
Pm 0.4578 0.6936 0.3908  4 Zn 3.01-3.18, 7 Cu 3.02-3.22
Pm 0.6073 0.7072 0.0782  7 Cu 3.03-3.16
Pm 0.5422 0.3064 0.6092  4 Zn 3.01-3.18, 7 Cu 3.02-3.22

Properties
As for the density of states at the Fermi level: 0.840 states/eV/atom. Its magnetization is 0.0 μB/cell. Its space-group type is C2/m.

---

Energy above the most stable structure, in eV/atom: i 0.158; ii 0.000

---

--- i ---
The following is a DFT calculation (PBE) of a relaxed structure of PmZnCu.

Cell: 3.6465 4.4198 4.4198 Å, 120.00 90.00 90.00°
With the nearest neighbours (Å) after each atom.
Fractional coordinates of all 3 atoms:
Cu 0.1667 0.0000 0.0000  3 Zn 2.55
Zn 0.1667 0.6667 0.3333  3 Cu 2.55
Pm 0.6666 0.3333 0.6667  6 Cu 3.14, 6 Zn 3.14

Properties
As for the density of states at the Fermi level: 0.769 states/eV/atom. Its magnetization is 0.0 μB/cell. Its space-group type is P-6m2.

---

--- ii ---
The following is a DFT calculation (PBE) of a relaxed structure of PmZnCu.

Cell: 4.5675 4.5675 4.5675 Å, 60.00 60.00 60.00°
With the nearest neighbours (Å) after each atom.
Fractional coordinates of all 3 atoms:
Zn 0.5000 0.5000 0.5000  4 Cu 2.80
Cu 0.2500 0.2500 0.2500  4 Pm 2.80, 4 Zn 2.80
Pm 0.0000 0.0000 0.0000  4 Cu 2.80

Properties
As for the density of states at the Fermi level: 1.159 states/eV/atom. Its magnetization is 0.0 μB/cell. Its space-group type is F-43m.

---

Energy above the most stable structure, in eV/atom: i 0.000; ii 0.171